Record 1
Compound: VNi2RuSe
Source: Alexandria
Functional: PBE-GGA
Structure: relaxed

a b c (Å): 4.2123 4.2123 4.5069
angles (deg): 90.00 90.00 90.00
Space group P4/mmm (No. 123)
Unique sites:
V 0.0000 0.0000 0.0000 x1
Ni 0.0000 0.5000 0.5000 x2
Ru 0.5000 0.5000 0.0000 x1
Se 0.0000 0.0000 0.5000 x1

The energy above the most stable polymorph in this dataset comes out at 0.0 meV per atom. The value obtained for the raw formation energy is 0.828 eV/atom.

Record 2
Compound: VNi2RuSe
Source: Alexandria
Functional: PBE-GGA
Structure: relaxed

a b c (Å): 4.2492 4.2492 4.5392
angles (deg): 90.00 90.00 90.00
Space group P4/mmm (No. 123)
Unique sites:
V 0.0000 0.0000 0.0000 x1
Ni 0.0000 0.5000 0.0000 x2
Ru 0.5000 0.5000 0.5000 x1
Se 0.0000 0.0000 0.5000 x1

The energy above the most stable polymorph in this dataset comes out at 230.4 meV per atom. The value obtained for the raw formation energy is 1.058 eV/atom.

Record 3
Compound: SiNi3Ru
Source: Alexandria
Functional: PBE-GGA
Structure: relaxed

a b c (Å): 4.1485 4.1485 4.1485
angles (deg): 90.00 90.00 90.00
Space group Pm-3m (No. 221)
Unique sites:
Si 0.0000 0.0000 0.0000 x1
Ni 0.0000 0.0000 0.5000 x3
Ru 0.5000 0.5000 0.5000 x1

The energy above the most stable polymorph in this dataset comes out at 0.0 meV per atom. The value obtained for the raw formation energy is 0.700 eV/atom.

Record 4
Compound: Si2NiRu
Source: Alexandria
Functional: PBE-GGA
Structure: relaxed

a b c (Å): 3.1812 3.7514 8.2677
angles (deg): 90.00 90.00 90.00
Space group Imm2 (No. 44)
Unique sites:
Si 0.0000 0.0000 0.0000 x2
Si 0.0000 0.5000 0.2356 x2
Ni 0.0000 0.0000 0.5230 x2
Ru 0.0000 0.5000 0.7559 x2

The value obtained for the raw formation energy is -0.363 eV/atom.

Record 5
Compound: Si2NiRu
Source: Alexandria
Functional: PBE-GGA
Structure: relaxed

a b c (Å): 3.7851 3.7851 6.8300
angles (deg): 90.00 90.00 90.00
Space group I4/mmm (No. 139)
Unique sites:
Si 0.0000 0.5000 0.2500 x4
Ni 0.0000 0.0000 0.0000 x2
Ru 0.0000 0.0000 0.5000 x2

The value obtained for the raw formation energy is -0.354 eV/atom.

Record 6
Compound: Si2NiRu
Source: Alexandria
Functional: PBE-GGA
Structure: relaxed

a b c (Å): 8.4233 2.9558 4.1091
angles (deg): 90.00 105.30 90.00
Space group Cm (No. 8)
Unique sites:
Si 0.0000 0.0000 0.0000 x2
Si 0.2449 0.0000 0.6371 x2
Ni 0.0079 0.5000 0.5230 x2
Ru 0.2366 0.5000 0.1277 x2

The value obtained for the raw formation energy is -0.528 eV/atom.

Record 7
Compound: SiNiRu2
Source: Alexandria
Functional: PBE-GGA
Structure: relaxed

a b c (Å): 3.6947 3.6947 7.4551
angles (deg): 90.00 90.00 90.00
Space group I-4m2 (No. 119)
Unique sites:
Si 0.0000 0.0000 0.0000 x2
Ni 0.0000 0.5000 0.7500 x2
Ru 0.0000 0.0000 0.5000 x2
Ru 0.0000 0.5000 0.2500 x2

The value obtained for the raw formation energy is -0.205 eV/atom.

Record 8
Compound: SiNiRu2
Source: Alexandria
Functional: PBE-GGA
Structure: relaxed

a b c (Å): 8.4571 2.7321 4.6629
angles (deg): 90.00 105.13 90.00
Space group C2/m (No. 12)
Unique sites:
Si 0.0000 0.0000 0.0000 x2
Ni 0.0000 0.5000 0.5000 x2
Ru 0.2345 0.5000 0.2507 x4

The value obtained for the raw formation energy is -0.143 eV/atom.